# Rb5NaTl4 | Alexandria via LeMat-Bulk | PBE-GGA | relaxed
data_Rb5NaTl4
_space_group_name_H-M_alt 'C 1 2/m 1'
_space_group_IT_number 12
_space_group_name_Hall '-C 2y'
_cell_length_a 23.331
_cell_length_b 4.983
_cell_length_c 10.119
_cell_angle_alpha 90.00
_cell_angle_beta 112.16
_cell_angle_gamma 90.00
loop_
_atom_site_label
_atom_site_type_symbol
_atom_site_fract_x
_atom_site_fract_y
_atom_site_fract_z
_atom_site_occupancy
Rb1 Rb 0.000 0.000 0.000 1
Rb2 Rb 0.143 0.500 0.506 1
Rb3 Rb 0.197 0.500 0.106 1
Na1 Na 0.000 0.000 0.500 1
Tl1 Tl 0.038 0.500 0.738 1
Tl2 Tl 0.124 0.000 0.800 1
# - Calculated formation energy: -0.044 eV per atom
# - M_tot: 0.0 μB per formula unit
# - Calculated volume: 1089.4 Å³ per cell